# 1
Entry from Alexandria via LeMat-Bulk: a relaxed structure of InTeAu (PBE).

Cell lengths 6.704, 6.704, 6.704 Å; angles 153.38, 146.11, 43.61 degrees
Element x y z (fractional)
In: 0.000 0.000 0.000
Te: 0.300 0.300 0.000
Au: 0.634 0.634 0.000

- ρ: 9.7 g/cm³
- E_form (uncorrected): 0.2 eV per formula unit
- E: -8.955 eV for the cell shown
- DOS(E_F): 1.57 states/eV/cell
- Size of the total moment: 0.0 μB per formula unit


# 2
Entry from Alexandria via LeMat-Bulk: a relaxed structure of ZrFeHg3 (PBE).

Cell lengths 4.903, 4.903, 4.903 Å; angles 90.00, 90.00, 90.00 degrees
Element x y z (fractional)
Zr: 0.000 0.000 0.000
Fe: 0.500 0.500 0.500
Hg: 0.000 0.500 0.500
Hg: 0.500 0.000 0.500
Hg: 0.500 0.500 0.000

- ρ: 10.6 g/cm³
- E: -14.783 eV for the cell shown
- DOS(E_F): 3.33 states/eV/cell
- Energy above the most stable polymorph in this dataset: 0.000 eV/atom
- DFT formation energy: 627 meV/atom
- Size of the total moment: 2.7 μB per formula unit


# 3
Entry from Alexandria via LeMat-Bulk: a relaxed structure of PrZnPt (PBE).

Cell lengths 5.642, 5.642, 7.249 Å; angles 123.90, 123.90, 44.99 degrees
Element x y z (fractional)
Pr: 0.053 0.053 0.306
Pr: 0.947 0.947 0.694
Zn: 0.328 0.328 0.913
Zn: 0.672 0.672 0.087
Pt: 0.337 0.337 0.303
Pt: 0.663 0.663 0.697

- ρ: 10.3 g/cm³
- E: -29.163 eV for the cell shown
- DOS(E_F): 4.16 states/eV/cell
- DFT formation energy: -829 meV/atom
- Size of the total moment: 0.0 μB per formula unit


# 4
Entry from Alexandria via LeMat-Bulk: a relaxed structure of InSi2Mo (PBE).

Cell lengths 7.108, 7.108, 7.108 Å; angles 130.63, 130.63, 72.39 degrees
Element x y z (fractional)
In: 0.000 0.000 0.000
In: 0.750 0.250 0.500
Si: 0.169 0.625 0.044
Si: 0.375 0.419 0.544
Si: 0.581 0.125 0.956
Si: 0.875 0.831 0.456
Mo: 0.250 0.750 0.500
Mo: 0.500 0.500 0.000

- ρ: 4.4 g/cm³
- E_form (uncorrected): 3.0 eV per formula unit
- E: -42.767 eV for the cell shown
- DOS(E_F): 5.97 states/eV/cell
- Size of the total moment: 0.0 μB per formula unit


# 5
Entry from Alexandria via LeMat-Bulk: a relaxed structure of RbB3H12 (PBE).

Cell lengths 8.808, 8.808, 8.808 Å; angles 49.18, 49.18, 49.18 degrees
Element x y z (fractional)
Rb: 0.000 0.000 0.000
Rb: 0.500 0.500 0.500
B: 0.044 0.488 0.618
B: 0.118 0.988 0.544
B: 0.488 0.618 0.044
B: 0.544 0.118 0.988
B: 0.618 0.044 0.488
B: 0.988 0.544 0.118
H: 0.087 0.405 0.769
H: 0.103 0.636 0.942
H: 0.114 0.899 0.484
H: 0.131 0.336 0.203
H: 0.136 0.603 0.442
H: 0.203 0.131 0.336
H: 0.269 0.905 0.587
H: 0.336 0.203 0.131
H: 0.399 0.614 0.984
H: 0.405 0.769 0.087
H: 0.442 0.136 0.603
H: 0.484 0.114 0.899
H: 0.587 0.269 0.905
H: 0.603 0.442 0.136
H: 0.614 0.984 0.399
H: 0.631 0.703 0.836
H: 0.636 0.942 0.103
H: 0.703 0.836 0.631
H: 0.769 0.087 0.405
H: 0.836 0.631 0.703
H: 0.899 0.484 0.114
H: 0.905 0.587 0.269
H: 0.942 0.103 0.636
H: 0.984 0.399 0.614

- ρ: 1.2 g/cm³
- E: -119.586 eV for the cell shown
- Size of the total moment: 2.0 μB per formula unit


# 6
Entry from Alexandria via LeMat-Bulk: a relaxed structure of Ti8HPb4 (PBE).

Cell lengths 3.647, 4.554, 13.996 Å; angles 90.00, 90.00, 90.00 degrees
Element x y z (fractional)
Ti: 0.000 0.000 0.000
Ti: 0.000 0.000 0.335
Ti: 0.000 0.500 0.184
Ti: 0.000 0.500 0.525
Ti: 0.500 0.000 0.503
Ti: 0.500 0.000 0.842
Ti: 0.500 0.500 0.024
Ti: 0.500 0.500 0.683
H: 0.000 0.000 0.469
Pb: 0.000 0.000 0.668
Pb: 0.000 0.500 0.862
Pb: 0.500 0.000 0.162
Pb: 0.500 0.500 0.361

- ρ: 8.7 g/cm³
- E: -82.376 eV for the cell shown
- DOS(E_F): 14.31 states/eV/cell
- Size of the total moment: 0.0 μB per formula unit